(1)
Below is a geometry-optimized Ba2Zn12Pt7 structure, with properties calculated at the GGA-PBE level.

* spin magnetization: 0.00 μB per formula unit
* total energy: -3.4367 eV/atom
* crystal system: hexagonal
* ΔE_f: -0.51 eV/atom
* symmetry: P-6

Cell lengths 4.2933, 10.1199, 10.1199 Å; angles 120.00, 90.00, 90.00 degrees
Positions (direct):
Zn  0.0000  0.8169  0.7234
Zn  0.5000  0.5244  0.7517
Zn  0.5000  0.2483  0.7726
Zn  0.0000  0.4455  0.9505
Zn  0.5000  0.3831  0.3202
Zn  0.0000  0.9065  0.1831
Zn  0.5000  0.6798  0.0629
Zn  0.0000  0.2766  0.0935
Zn  0.5000  0.2274  0.4756
Zn  0.0000  0.0495  0.4950
Zn  0.5000  0.9371  0.6169
Zn  0.0000  0.5050  0.5545
Pt  0.5000  0.4146  0.0747
Pt  0.0000  0.0966  0.7796
Pt  0.5000  0.9253  0.3399
Pt  0.0000  0.2204  0.3170
Pt  0.0000  0.6830  0.9034
Pt  0.0000  0.3333  0.6667
Pt  0.5000  0.6601  0.5854
Ba  0.0000  0.6667  0.3333
Ba  0.5000  0.0000  0.0000

---

(2)
Below is a geometry-optimized BaZn2Pt structure, with properties calculated at the GGA-PBE level.

* spin magnetization: 0.00 μB per formula unit
* total energy: -2.4410 eV/atom
* crystal system: orthorhombic
* ΔE_f: 0.19 eV/atom
* symmetry: Cmmm

Cell lengths 5.8533, 5.8533, 3.0962 Å; angles 90.00, 90.00, 120.04 degrees
Positions (direct):
Ba  0.5000  0.0000  0.5000
Zn  0.5000  0.5000  0.0000
Zn  0.0000  0.0000  0.0000
Pt  0.0000  0.5000  0.5000

---

(3)
Below is a geometry-optimized BaZn2Pt structure, with properties calculated at the GGA-PBE level.

* spin magnetization: 0.00 μB per formula unit
* total energy: -2.9129 eV/atom
* crystal system: orthorhombic
* ΔE_f: -0.29 eV/atom
* symmetry: Immm

Cell lengths 5.4163, 5.4163, 5.4163 Å; angles 133.57, 114.21, 84.31 degrees
Positions (direct):
Pt  0.7500  0.2500  0.5000
Zn  0.9292  0.9292  0.0000
Zn  0.5708  0.5708  0.0000
Ba  0.2500  0.7500  0.5000

---

(4)
Below is a geometry-optimized BaZn2Pt structure, with properties calculated at the GGA-PBE level.

* spin magnetization: 0.00 μB per formula unit
* total energy: -2.8991 eV/atom
* crystal system: tetragonal
* ΔE_f: -0.27 eV/atom
* symmetry: P4mm

Cell lengths 3.5670, 3.5677, 7.2650 Å; angles 90.00, 90.00, 90.00 degrees
Positions (direct):
Ba  0.0000  0.0000  0.5212
Zn  0.5000  0.5000  0.1815
Zn  0.0000  0.0000  0.9642
Pt  0.5000  0.5000  0.8331

---

(5)
Below is a geometry-optimized BaZn5Pt3 structure, with properties calculated at the GGA-PBE level.

* spin magnetization: 0.00 μB per formula unit
* total energy: -3.4672 eV/atom
* crystal system: orthorhombic
* ΔE_f: -0.53 eV/atom
* symmetry: Cmcm

Cell lengths 4.2232, 6.8809, 12.7679 Å; angles 90.00, 90.00, 107.87 degrees
Positions (direct):
Zn  0.0000  0.0000  0.5000
Zn  0.4426  0.8853  0.3497
Zn  0.8036  0.6073  0.0585
Zn  0.5574  0.1147  0.6503
Zn  0.8036  0.6073  0.4415
Zn  0.1964  0.3927  0.5585
Zn  0.0000  0.0000  0.0000
Zn  0.5574  0.1147  0.8497
Zn  0.1964  0.3927  0.9415
Zn  0.4426  0.8853  0.1503
Pt  0.6115  0.2229  0.0413
Pt  0.1173  0.2346  0.7500
Pt  0.3885  0.7771  0.9587
Pt  0.6115  0.2229  0.4587
Pt  0.8827  0.7654  0.2500
Pt  0.3885  0.7771  0.5413
Ba  0.1656  0.3312  0.2500
Ba  0.8344  0.6688  0.7500

---

(6)
Below is a geometry-optimized Ba2Zn6Pt3 structure, with properties calculated at the GGA-PBE level.

* spin magnetization: 0.00 μB per formula unit
* total energy: -3.1570 eV/atom
* crystal system: hexagonal
* ΔE_f: -0.46 eV/atom
* symmetry: P-62m

Cell lengths 4.3543, 7.9784, 7.9784 Å; angles 120.00, 90.00, 90.00 degrees
Positions (direct):
Pt  0.5000  0.0000  0.6360
Pt  0.5000  0.3640  0.3640
Pt  0.5000  0.6360  0.0000
Ba  0.0000  0.6667  0.3333
Ba  0.0000  0.3333  0.6667
Zn  0.0000  0.8134  0.0000
Zn  0.5000  0.0000  0.2901
Zn  0.0000  0.0000  0.8134
Zn  0.0000  0.1866  0.1866
Zn  0.5000  0.7099  0.7099
Zn  0.5000  0.2901  0.0000